NaCaMg | Alexandria | PBE | relaxed; calculated volume = 33.16 A^3/atom; size of the total moment = 0.000 μB per formula unit; uncorrected energy = -1.57 eV per atom; ΔH_f (0 K) = 1.67 kcal/mol of atoms
1.0
3.7096 0.0000 0.0000
0.0000 5.5650 0.0000
0.0000 -2.7825 4.8195
Ca Na Mg
1 1 1
direct
0.6654 0.3333 0.6667
0.1714 0.6667 0.3333
0.1633 0.0000 0.0000